Entry 1:
{
  "formula": "SrLiDyRh",
  "functional": "PBE-GGA",
  "state": "relaxed",
  "n_ef_per_ev_cell": 2.3,
  "volume_a3_per_cell": 94,
  "total_energy_ev_per_atom": -4.10,
  "magmom_total_mub_per_fu": 0.00,
  "ef_ev_per_fu": -0.9,
  "lattice_angstrom": [[-3.597, -3.171, -1.749], [0.267, -1.776, -4.777], [1.114, -4.909, -0.839]],
  "species": ["Rh", "Dy", "Li", "Sr"],
  "frac_coords": [[0.500, 0.500, 0.500], [0.750, 0.750, 0.750], [0.000, 0.000, 0.000], [0.250, 0.250, 0.250]]
}

Entry 2:
{
  "formula": "LiTbDyRh",
  "functional": "PBE-GGA",
  "state": "relaxed",
  "n_ef_per_ev_cell": 2.8,
  "volume_a3_per_cell": 85,
  "total_energy_ev_per_atom": -5.10,
  "magmom_total_mub_per_fu": 0.00,
  "ef_ev_per_fu": -1.9,
  "lattice_angstrom": [[4.942, 0.000, 0.000], [2.471, 4.280, 0.000], [2.471, 1.427, 4.035]],
  "species": ["Li", "Dy", "Rh", "Tb"],
  "frac_coords": [[0.000, 0.000, 0.000], [0.250, 0.250, 0.250], [0.500, 0.500, 0.500], [0.750, 0.750, 0.750]]
}

Entry 3:
{
  "formula": "LiTb2DyRh4",
  "functional": "PBE-GGA",
  "state": "relaxed",
  "n_ef_per_ev_cell": 3.4,
  "volume_a3_per_cell": 149,
  "total_energy_ev_per_atom": -6.35,
  "magmom_total_mub_per_fu": 0.00,
  "ef_ev_per_fu": -5.6,
  "lattice_angstrom": [[-0.235, -2.573, -3.954], [3.598, -2.812, -1.204], [-2.084, -7.593, 2.244]],
  "species": ["Rh", "Tb", "Tb", "Li", "Rh", "Rh", "Rh", "Dy"],
  "frac_coords": [[0.624, 0.624, 0.128], [0.242, 0.242, 0.274], [0.758, 0.758, 0.726], [0.500, 0.500, 0.500], [0.877, 0.877, 0.368], [0.376, 0.376, 0.872], [0.123, 0.123, 0.632], [0.000, 0.000, 0.000]]
}

Entry 4:
{
  "formula": "LiDyTlRh",
  "functional": "PBE-GGA",
  "state": "relaxed",
  "n_ef_per_ev_cell": 4.4,
  "volume_a3_per_cell": 78,
  "total_energy_ev_per_atom": -4.47,
  "magmom_total_mub_per_fu": 0.00,
  "ef_ev_per_fu": -1.6,
  "lattice_angstrom": [[-2.601, 3.396, -2.157], [-4.188, -1.123, -2.037], [-4.101, 1.493, 1.975]],
  "species": ["Dy", "Tl", "Li", "Rh"],
  "frac_coords": [[0.750, 0.750, 0.750], [0.250, 0.250, 0.250], [0.000, 0.000, 0.000], [0.500, 0.500, 0.500]]
}

Entry 5:
{
  "formula": "LiDyTm2Rh4",
  "functional": "PBE-GGA",
  "state": "relaxed",
  "n_ef_per_ev_cell": 2.8,
  "volume_a3_per_cell": 144,
  "total_energy_ev_per_atom": -6.38,
  "magmom_total_mub_per_fu": 0.00,
  "ef_ev_per_fu": -6.1,
  "lattice_angstrom": [[-2.395, -0.482, 3.976], [1.573, -2.854, 3.340], [3.681, 4.677, 5.523]],
  "species": ["Li", "Tm", "Rh", "Tm", "Rh", "Dy", "Rh", "Rh"],
  "frac_coords": [[0.500, 0.500, 0.500], [0.758, 0.758, 0.726], [0.377, 0.377, 0.870], [0.242, 0.242, 0.274], [0.124, 0.124, 0.629], [0.000, 0.000, 0.000], [0.623, 0.623, 0.130], [0.876, 0.876, 0.371]]
}

Entry 6:
{
  "formula": "LiDy2YRh4",
  "functional": "PBE-GGA",
  "state": "relaxed",
  "n_ef_per_ev_cell": 3.5,
  "volume_a3_per_cell": 148,
  "total_energy_ev_per_atom": -6.58,
  "magmom_total_mub_per_fu": 0.00,
  "ef_ev_per_fu": -5.6,
  "lattice_angstrom": [[-3.400, 2.615, -1.947], [-3.510, -2.076, -2.358], [-6.406, -0.296, 5.091]],
  "species": ["Y", "Rh", "Rh", "Rh", "Rh", "Dy", "Dy", "Li"],
  "frac_coords": [[0.000, 0.000, 0.000], [0.623, 0.623, 0.130], [0.377, 0.377, 0.870], [0.124, 0.124, 0.629], [0.876, 0.876, 0.371], [0.242, 0.242, 0.274], [0.758, 0.758, 0.726], [0.500, 0.500, 0.500]]
}

Entry 7:
{
  "formula": "LiDyZnRh",
  "functional": "PBE-GGA",
  "state": "relaxed",
  "n_ef_per_ev_cell": 1.9,
  "volume_a3_per_cell": 70,
  "total_energy_ev_per_atom": -4.23,
  "magmom_total_mub_per_fu": 0.00,
  "ef_ev_per_fu": -1.8,
  "lattice_angstrom": [[4.625, 0.000, 0.000], [2.312, 4.005, 0.000], [2.312, 1.335, 3.776]],
  "species": ["Rh", "Li", "Dy", "Zn"],
  "frac_coords": [[0.750, 0.750, 0.750], [0.250, 0.250, 0.250], [0.500, 0.500, 0.500], [0.000, 0.000, 0.000]]
}

Entry 8:
{
  "formula": "LiDyZrRh",
  "functional": "PBE-GGA",
  "state": "relaxed",
  "n_ef_per_ev_cell": 3.9,
  "volume_a3_per_cell": 78,
  "total_energy_ev_per_atom": -5.96,
  "magmom_total_mub_per_fu": 0.00,
  "ef_ev_per_fu": -1.4,
  "lattice_angstrom": [[4.799, 0.000, 0.000], [2.400, 4.156, 0.000], [2.400, 1.385, 3.918]],
  "species": ["Zr", "Rh", "Li", "Dy"],
  "frac_coords": [[0.250, 0.250, 0.250], [0.500, 0.500, 0.500], [0.000, 0.000, 0.000], [0.750, 0.750, 0.750]]
}

Entry 9:
{
  "formula": "LiDyRu",
  "functional": "PBE-GGA",
  "state": "relaxed",
  "n_ef_per_ev_cell": 4.7,
  "polymorph_energy_mev_per_atom": 0,
  "volume_a3_per_cell": 111,
  "total_energy_ev_per_atom": -5.32,
  "magmom_total_mub_per_fu": 0.00,
  "ef_ev_per_fu": -0.2,
  "lattice_angstrom": [[5.434, -1.388, 0.000], [-2.329, 5.102, 0.000], [0.000, 0.000, 4.547]],
  "species": ["Li", "Dy", "Ru", "Li", "Ru", "Dy"],
  "frac_coords": [[0.050, 0.950, 0.250], [0.254, 0.746, 0.750], [0.436, 0.564, 0.250], [0.950, 0.050, 0.750], [0.564, 0.436, 0.750], [0.746, 0.254, 0.250]]
}

Entry 10:
{
  "formula": "LiDy2Ru",
  "functional": "PBE-GGA",
  "state": "relaxed",
  "n_ef_per_ev_cell": 2.6,
  "polymorph_energy_mev_per_atom": 0,
  "volume_a3_per_cell": 84,
  "total_energy_ev_per_atom": -5.38,
  "magmom_total_mub_per_fu": 0.00,
  "ef_ev_per_fu": -1.1,
  "lattice_angstrom": [[-2.171, -2.293, -3.756], [-1.571, -4.619, 0.522], [-4.811, -0.952, 0.157]],
  "species": ["Dy", "Ru", "Li", "Dy"],
  "frac_coords": [[0.750, 0.750, 0.750], [0.000, 0.000, 0.000], [0.500, 0.500, 0.500], [0.250, 0.250, 0.250]]
}

What did the sixth record say?
{
  "formula": "LiDy2YRh4",
  "functional": "PBE-GGA",
  "state": "relaxed",
  "n_ef_per_ev_cell": 3.5,
  "volume_a3_per_cell": 148,
  "total_energy_ev_per_atom": -6.58,
  "magmom_total_mub_per_fu": 0.00,
  "ef_ev_per_fu": -5.6,
  "lattice_angstrom": [[-3.400, 2.615, -1.947], [-3.510, -2.076, -2.358], [-6.406, -0.296, 5.091]],
  "species": ["Y", "Rh", "Rh", "Rh", "Rh", "Dy", "Dy", "Li"],
  "frac_coords": [[0.000, 0.000, 0.000], [0.623, 0.623, 0.130], [0.377, 0.377, 0.870], [0.124, 0.124, 0.629], [0.876, 0.876, 0.371], [0.242, 0.242, 0.274], [0.758, 0.758, 0.726], [0.500, 0.500, 0.500]]
}

Please write out number 7 again, unchanged.
{
  "formula": "LiDyZnRh",
  "functional": "PBE-GGA",
  "state": "relaxed",
  "n_ef_per_ev_cell": 1.9,
  "volume_a3_per_cell": 70,
  "total_energy_ev_per_atom": -4.23,
  "magmom_total_mub_per_fu": 0.00,
  "ef_ev_per_fu": -1.8,
  "lattice_angstrom": [[4.625, 0.000, 0.000], [2.312, 4.005, 0.000], [2.312, 1.335, 3.776]],
  "species": ["Rh", "Li", "Dy", "Zn"],
  "frac_coords": [[0.750, 0.750, 0.750], [0.250, 0.250, 0.250], [0.500, 0.500, 0.500], [0.000, 0.000, 0.000]]
}

Question: What is the formula in the fifth record?
Answer: LiDyTm2Rh4